## BeBiB (PBE)

Data for a relaxed structure of BeBiB.

```
data_BeBiB
_chemical_formula_sum 'Be2 Bi2 B2'
_cell_length_a 3.1270
_cell_length_b 3.6759
_cell_length_c 8.6725
_cell_angle_alpha 94.40
_cell_angle_beta 90.06
_cell_angle_gamma 90.00
_symmetry_space_group_name_H-M 'P -1'
_symmetry_Int_Tables_number 2
_symmetry_space_group_name_Hall '-P 1'
loop_
_atom_site_label
_atom_site_type_symbol
_atom_site_fract_x
_atom_site_fract_y
_atom_site_fract_z
Be1 Be 0.2503 0.1354 0.0715
Bi1 Bi 0.2509 0.7270 0.3213
B1 B 0.2501 0.6142 0.0203
```

Density, g cm⁻³: 7.645
Final energy, Ry per atom: -0.341
Energy of formation from the pure elements, eV per atom: 0.12
E above lowest polymorph, meV per atom: 0

---

## TlCo2Tc (PBE)

Data for a relaxed structure of TlCo2Tc.

```
data_TlCo2Tc
_chemical_formula_sum 'Tl2 Co4 Tc2'
_cell_length_a 2.9508
_cell_length_b 4.4528
_cell_length_c 8.9286
_cell_angle_alpha 90.00
_cell_angle_beta 90.00
_cell_angle_gamma 90.00
_symmetry_space_group_name_H-M 'I m m 2'
_symmetry_Int_Tables_number 44
_symmetry_space_group_name_Hall 'I 2 -2'
loop_
_atom_site_label
_atom_site_type_symbol
_atom_site_fract_x
_atom_site_fract_y
_atom_site_fract_z
Tl1 Tl 0.0000 0.0000 0.0000
Co1 Co 0.0000 0.0000 0.4785
Co2 Co 0.0000 0.5000 0.7603
Tc1 Tc 0.0000 0.5000 0.2210
```

Density, g cm⁻³: 11.897
Final energy, Ry per atom: -0.453
Energy of formation from the pure elements, eV per atom: 0.57
E above lowest polymorph, meV per atom: 157

---

## TaSb2TeAs (PBE)

Data for a relaxed structure of TaSb2TeAs.

```
data_TaSb2TeAs
_chemical_formula_sum 'Ta1 Sb2 Te1 As1'
_cell_length_a 5.3987
_cell_length_b 5.3987
_cell_length_c 5.2701
_cell_angle_alpha 90.00
_cell_angle_beta 90.00
_cell_angle_gamma 90.00
_symmetry_space_group_name_H-M 'P 4/m m m'
_symmetry_Int_Tables_number 123
_symmetry_space_group_name_Hall '-P 4 2'
loop_
_atom_site_label
_atom_site_type_symbol
_atom_site_fract_x
_atom_site_fract_y
_atom_site_fract_z
Ta1 Ta 0.0000 0.0000 0.0000
Sb1 Sb 0.0000 0.5000 0.0000
Te1 Te 0.0000 0.0000 0.5000
As1 As 0.5000 0.5000 0.5000
```

Density, g cm⁻³: 6.778
Final energy, Ry per atom: -0.361
E above lowest polymorph, meV per atom: 0
ΔE_f (raw), eV per formula unit: 3.30

---

## MnAlRe2 (PBE)

Data for a relaxed structure of MnAlRe2.

```
data_MnAlRe2
_chemical_formula_sum 'Mn2 Al2 Re4'
_cell_length_a 5.2426
_cell_length_b 7.7392
_cell_length_c 2.7948
_cell_angle_alpha 90.00
_cell_angle_beta 90.00
_cell_angle_gamma 90.00
_symmetry_space_group_name_H-M 'C m m m'
_symmetry_Int_Tables_number 65
_symmetry_space_group_name_Hall '-C 2 2'
loop_
_atom_site_label
_atom_site_type_symbol
_atom_site_fract_x
_atom_site_fract_y
_atom_site_fract_z
Mn1 Mn 0.0000 0.0000 0.0000
Al1 Al 0.0000 0.5000 0.0000
Re1 Re 0.2500 0.2500 0.5000
```

Density, g cm⁻³: 13.306
Final energy, Ry per atom: -0.689
Energy of formation from the pure elements, eV per atom: 0.08

---

## Ni2AsBr (PBE)

Data for a relaxed structure of Ni2AsBr.

```
data_Ni2AsBr
_chemical_formula_sum 'Ni4 As2 Br2'
_cell_length_a 3.4042
_cell_length_b 3.4042
_cell_length_c 12.5508
_cell_angle_alpha 90.00
_cell_angle_beta 90.00
_cell_angle_gamma 90.00
_symmetry_space_group_name_H-M 'I -4 m 2'
_symmetry_Int_Tables_number 119
_symmetry_space_group_name_Hall 'I -4 -2'
loop_
_atom_site_label
_atom_site_type_symbol
_atom_site_fract_x
_atom_site_fract_y
_atom_site_fract_z
Ni1 Ni 0.0000 0.0000 0.0000
Ni2 Ni 0.0000 0.5000 0.2500
As1 As 0.0000 0.5000 0.7500
Br1 Br 0.0000 0.0000 0.5000
```

Density, g cm⁻³: 6.216
Final energy, Ry per atom: -0.299
E above lowest polymorph, meV per atom: 505
ΔE_f (raw), eV per formula unit: 1.61

---

## VSn3 (PBE)

Data for a relaxed structure of VSn3.

```
data_VSn3
_chemical_formula_sum 'V2 Sn6'
_cell_length_a 3.1799
_cell_length_b 8.6195
_cell_length_c 6.5695
_cell_angle_alpha 90.00
_cell_angle_beta 90.00
_cell_angle_gamma 90.00
_symmetry_space_group_name_H-M 'I m m 2'
_symmetry_Int_Tables_number 44
_symmetry_space_group_name_Hall 'I 2 -2'
loop_
_atom_site_label
_atom_site_type_symbol
_atom_site_fract_x
_atom_site_fract_y
_atom_site_fract_z
V1 V 0.0000 0.0000 0.0000
Sn1 Sn 0.0000 0.3142 0.7733
Sn2 Sn 0.0000 0.5000 0.1612
```

Density, g cm⁻³: 7.508
Final energy, Ry per atom: -0.379
Energy of formation from the pure elements, eV per atom: 0.13

---

## YGa2Co2 (PBE)

Data for a relaxed structure of YGa2Co2.

```
data_YGa2Co2
_chemical_formula_sum 'Y2 Ga4 Co4'
_cell_length_a 7.3292
_cell_length_b 7.3292
_cell_length_c 2.8093
_cell_angle_alpha 90.00
_cell_angle_beta 90.00
_cell_angle_gamma 90.00
_symmetry_space_group_name_H-M 'P 4/m b m'
_symmetry_Int_Tables_number 127
_symmetry_space_group_name_Hall '-P 4 2ab'
loop_
_atom_site_label
_atom_site_type_symbol
_atom_site_fract_x
_atom_site_fract_y
_atom_site_fract_z
Y1 Y 0.0000 0.0000 0.0000
Ga1 Ga 0.1233 0.3767 0.0000
Co1 Co 0.1741 0.6741 0.5000
```

Density, g cm⁻³: 7.619
Final energy, Ry per atom: -0.409
Energy of formation from the pure elements, eV per atom: -0.22

---

## Na2LiGe2 (PBE)

Data for a relaxed structure of Na2LiGe2.

```
data_Na2LiGe2
_chemical_formula_sum 'Na4 Li2 Ge4'
_cell_length_a 8.4134
_cell_length_b 8.4134
_cell_length_c 3.2279
_cell_angle_alpha 90.00
_cell_angle_beta 90.00
_cell_angle_gamma 90.00
_symmetry_space_group_name_H-M 'P 4/m b m'
_symmetry_Int_Tables_number 127
_symmetry_space_group_name_Hall '-P 4 2ab'
loop_
_atom_site_label
_atom_site_type_symbol
_atom_site_fract_x
_atom_site_fract_y
_atom_site_fract_z
Na1 Na 0.1877 0.3123 0.0000
Li1 Li 0.0000 0.0000 0.0000
Ge1 Ge 0.1072 0.6072 0.5000
```

Density, g cm⁻³: 2.881
Final energy, Ry per atom: -0.199
Energy of formation from the pure elements, eV per atom: 0.05
E above lowest polymorph, meV per atom: 120

---

density of number 4 (MnAlRe2)? 13.306 g cm⁻³

---

Among the records above, which one has the lowest density? Na2LiGe2

---

What is the density in the seventh record? 7.619 g cm⁻³

---

Which value of final energy does entry 8 give? -0.199 Ry per atom